## AlWSe2Br (PBE-GGA)

Data for an optimized crystal structure of AlWSe2Br.

Properties
The total magnetization is 3.76 μB per formula unit. For the uncorrected formation energy, the calculation gives 829 meV per atom. Its space-group type is P4/mmm, No. 123.

abc: 4.981 4.981 4.712
angles: 90.00 90.00 90.00
Fractional coordinates of all 5 atoms:
Se  0.000  0.500  0.000
Br  0.000  0.000  0.500
W  0.500  0.500  0.500
Al  0.000  0.000  0.000
Se  0.500  0.000  0.000